[1]
A geometry-optimized TmThMg structure, computed with PBE.

CIF file:
```
data_TmThMg
_cell_length_a 16.638
_cell_length_b 16.638
_cell_length_c 16.638
_cell_angle_alpha 12.12
_cell_angle_beta 12.12
_cell_angle_gamma 12.12
_symmetry_space_group_name_H-M 'P 1'
_symmetry_Int_Tables_number 1
loop_
_symmetry_equiv_pos_as_xyz
'x,y,z'
loop_
_atom_site_label
_atom_site_type_symbol
_atom_site_fract_x
_atom_site_fract_y
_atom_site_fract_z
Tm1 Tm 0.000 0.000 0.000
Tm2 Tm 0.159 0.159 0.159
Th1 Th 0.276 0.276 0.276
Th2 Th 0.550 0.550 0.550
Mg1 Mg 0.438 0.438 0.438
Mg2 Mg 0.721 0.721 0.721
```

Values from the calculation:
The total energy comes out at -4.456 eV per atom. For the distance to the lowest polymorph of the same formula, the calculation gives 59 meV/atom. The energy relative to the elements comes out at 0.0396 eV per atom.

***

[2]
A geometry-optimized TlGeTe2 structure, computed with PBE.

CIF file:
```
data_TlGeTe2
_cell_length_a 10.336
_cell_length_b 10.336
_cell_length_c 10.336
_cell_angle_alpha 21.93
_cell_angle_beta 21.93
_cell_angle_gamma 21.93
_symmetry_space_group_name_H-M 'P 1'
_symmetry_Int_Tables_number 1
loop_
_symmetry_equiv_pos_as_xyz
'x,y,z'
loop_
_atom_site_label
_atom_site_type_symbol
_atom_site_fract_x
_atom_site_fract_y
_atom_site_fract_z
Tl1 Tl 0.000 0.000 0.000
Ge1 Ge 0.500 0.500 0.500
Te1 Te 0.110 0.110 0.110
Te2 Te 0.890 0.890 0.890
```

Values from the calculation:
The uncorrected formation energy is 0.25 eV per formula unit. The total energy comes out at -3.254 eV per atom. For the distance to the lowest polymorph of the same formula, the calculation gives 204 meV/atom.

***

[3]
A geometry-optimized ReRuSe2 structure, computed with PBE.

CIF file:
```
data_ReRuSe2
_cell_length_a 2.946
_cell_length_b 2.946
_cell_length_c 8.504
_cell_angle_alpha 90.00
_cell_angle_beta 90.00
_cell_angle_gamma 90.00
_symmetry_space_group_name_H-M 'P 1'
_symmetry_Int_Tables_number 1
loop_
_symmetry_equiv_pos_as_xyz
'x,y,z'
loop_
_atom_site_label
_atom_site_type_symbol
_atom_site_fract_x
_atom_site_fract_y
_atom_site_fract_z
Re1 Re 0.000 0.000 0.000
Ru1 Ru 0.500 0.500 0.230
Se1 Se 0.000 0.000 0.406
Se2 Se 0.500 0.500 0.823
```

Values from the calculation:
The uncorrected formation energy is 0.18 eV per formula unit. The total energy comes out at -7.129 eV per atom. For the distance to the lowest polymorph of the same formula, the calculation gives 0 meV/atom.

***

[4]
A geometry-optimized La4PmAl2 structure, computed with PBE.

CIF file:
```
data_La4PmAl2
_cell_length_a 7.069
_cell_length_b 10.351
_cell_length_c 6.977
_cell_angle_alpha 90.00
_cell_angle_beta 119.36
_cell_angle_gamma 90.00
_symmetry_space_group_name_H-M 'P 1'
_symmetry_Int_Tables_number 1
loop_
_symmetry_equiv_pos_as_xyz
'x,y,z'
loop_
_atom_site_label
_atom_site_type_symbol
_atom_site_fract_x
_atom_site_fract_y
_atom_site_fract_z
La1 La 0.001 0.248 0.203
La2 La 0.001 0.252 0.703
La3 La 0.498 0.249 0.588
La4 La 0.498 0.251 0.088
La5 La 0.502 0.749 0.912
La6 La 0.502 0.751 0.412
La7 La 0.999 0.748 0.297
La8 La 0.999 0.752 0.797
Pm1 Pm 0.000 0.000 0.500
Pm2 Pm 0.000 0.500 0.000
Al1 Al 0.224 0.000 0.112
Al2 Al 0.224 0.500 0.612
Al3 Al 0.776 0.000 0.888
Al4 Al 0.776 0.500 0.388
```

Values from the calculation:
The total energy comes out at -4.459 eV per atom. For the distance to the lowest polymorph of the same formula, the calculation gives 0 meV/atom. The energy relative to the elements comes out at 0.1047 eV per atom.

***

[5]
A geometry-optimized NaVSb structure, computed with PBE.

CIF file:
```
data_NaVSb
_cell_length_a 5.235
_cell_length_b 5.235
_cell_length_c 8.867
_cell_angle_alpha 104.77
_cell_angle_beta 104.77
_cell_angle_gamma 36.28
_symmetry_space_group_name_H-M 'P 1'
_symmetry_Int_Tables_number 1
loop_
_symmetry_equiv_pos_as_xyz
'x,y,z'
loop_
_atom_site_label
_atom_site_type_symbol
_atom_site_fract_x
_atom_site_fract_y
_atom_site_fract_z
Na1 Na 0.000 0.000 0.000
Na2 Na 0.643 0.643 0.366
V1 V 0.301 0.301 0.709
V2 V 0.694 0.694 0.851
Sb1 Sb 0.011 0.011 0.629
Sb2 Sb 0.301 0.301 0.124
```

Values from the calculation:
The uncorrected formation energy is 0.28 eV per formula unit. The total energy comes out at -4.760 eV per atom. For the distance to the lowest polymorph of the same formula, the calculation gives 211 meV/atom.

***

[6]
A geometry-optimized TlSi3W structure, computed with PBE.

CIF file:
```
data_TlSi3W
_cell_length_a 4.839
_cell_length_b 4.839
_cell_length_c 4.839
_cell_angle_alpha 90.00
_cell_angle_beta 90.00
_cell_angle_gamma 90.00
_symmetry_space_group_name_H-M 'P 1'
_symmetry_Int_Tables_number 1
loop_
_symmetry_equiv_pos_as_xyz
'x,y,z'
loop_
_atom_site_label
_atom_site_type_symbol
_atom_site_fract_x
_atom_site_fract_y
_atom_site_fract_z
Tl1 Tl 0.000 0.000 0.000
Si1 Si 0.000 0.500 0.500
Si2 Si 0.500 0.000 0.500
Si3 Si 0.500 0.500 0.000
W1 W 0.500 0.500 0.500
```

Values from the calculation:
The uncorrected formation energy is 2.29 eV per formula unit. The total energy comes out at -5.859 eV per atom. For the distance to the lowest polymorph of the same formula, the calculation gives 0 meV/atom.

***

[7]
A geometry-optimized RbN3O structure, computed with PBE.

CIF file:
```
data_RbN3O
_cell_length_a 5.131
_cell_length_b 5.131
_cell_length_c 5.131
_cell_angle_alpha 90.00
_cell_angle_beta 90.00
_cell_angle_gamma 90.00
_symmetry_space_group_name_H-M 'P 1'
_symmetry_Int_Tables_number 1
loop_
_symmetry_equiv_pos_as_xyz
'x,y,z'
loop_
_atom_site_label
_atom_site_type_symbol
_atom_site_fract_x
_atom_site_fract_y
_atom_site_fract_z
Rb1 Rb 0.000 0.000 0.000
N1 N 0.000 0.000 0.500
N2 N 0.000 0.500 0.000
N3 N 0.500 0.000 0.000
O1 O 0.500 0.500 0.500
```

Values from the calculation:
The uncorrected formation energy is 16.57 eV per formula unit. The total energy comes out at -2.866 eV per atom.

***

[8]
A geometry-optimized Mn3AlPt structure, computed with PBE.

CIF file:
```
data_Mn3AlPt
_cell_length_a 4.163
_cell_length_b 4.163
_cell_length_c 4.163
_cell_angle_alpha 90.00
_cell_angle_beta 90.00
_cell_angle_gamma 90.00
_symmetry_space_group_name_H-M 'P 1'
_symmetry_Int_Tables_number 1
loop_
_symmetry_equiv_pos_as_xyz
'x,y,z'
loop_
_atom_site_label
_atom_site_type_symbol
_atom_site_fract_x
_atom_site_fract_y
_atom_site_fract_z
Mn1 Mn 0.000 0.000 0.500
Mn2 Mn 0.000 0.500 0.000
Mn3 Mn 0.500 0.000 0.000
Al1 Al 0.000 0.000 0.000
Pt1 Pt 0.500 0.500 0.500
```

Values from the calculation:
The total energy comes out at -6.057 eV per atom. For the distance to the lowest polymorph of the same formula, the calculation gives 603 meV/atom. The energy relative to the elements comes out at 1.4018 eV per atom.

***

[9]
A geometry-optimized PrSmTm2Bi4 structure, computed with PBE.

CIF file:
```
data_PrSmTm2Bi4
_cell_length_a 7.814
_cell_length_b 4.524
_cell_length_c 7.830
_cell_angle_alpha 90.00
_cell_angle_beta 109.52
_cell_angle_gamma 90.00
_symmetry_space_group_name_H-M 'P 1'
_symmetry_Int_Tables_number 1
loop_
_symmetry_equiv_pos_as_xyz
'x,y,z'
loop_
_atom_site_label
_atom_site_type_symbol
_atom_site_fract_x
_atom_site_fract_y
_atom_site_fract_z
Pr1 Pr 0.000 0.000 0.000
Sm1 Sm 0.000 0.500 0.500
Tm1 Tm 0.500 0.000 0.500
Tm2 Tm 0.500 0.500 0.000
Bi1 Bi 0.261 0.000 0.751
Bi2 Bi 0.262 0.500 0.256
Bi3 Bi 0.738 0.500 0.744
Bi4 Bi 0.739 0.000 0.249
```

Values from the calculation:
The total energy comes out at -5.103 eV per atom. The energy relative to the elements comes out at -0.8574 eV per atom.